# 1
# K2GaAgAu4

A relaxed structure of K2GaAgAu4 (GGA-PBE, the Alexandria database).

```
16
Lattice="-1.215 -5.744 2.688 4.644 -2.975 3.498 -4.388 2.358 10.809" Properties=species:S:1:pos:R:3 pbc="T T T"
K -3.032 0.482 7.414
K -2.571 -3.868 6.083
K -2.140 -2.740 12.565
K 0.573 -6.492 5.775
Ga -0.176 -1.744 7.826
Ga -0.608 -2.872 1.344
Ag -0.783 -4.616 9.170
Ag 0.000 0.000 0.000
Au 2.420 -3.868 5.022
Au -2.860 -0.035 10.824
Au -1.442 -5.414 14.362
Au -0.037 -3.404 3.784
Au 1.441 -3.723 7.647
Au -2.312 -2.223 9.155
Au -0.301 -5.563 11.803
Au -0.746 -1.213 5.386
```

Calculated values
- total DFT energy (no corrections) (eV/atom) = -2.84
- total magnetization (μB per formula unit) = 0.00
- crystal system = orthorhombic
- E_form (meV per atom) = -192
- SG = No. 70


# 2
# K2Ga4AgAu3

A relaxed structure of K2Ga4AgAu3 (GGA-PBE, the Alexandria database).

```
10
Lattice="-1.390 -2.173 -3.947 4.237 -2.035 -0.372 -3.382 -8.074 5.637" Properties=species:S:1:pos:R:3 pbc="T T T"
K -1.546 -3.119 -0.555
K -0.412 -7.059 4.032
Ga 1.424 -2.104 -2.160
Ga 0.000 0.000 0.000
Ga -2.799 -6.110 1.533
Ga 0.841 -4.069 1.944
Ag -0.267 -6.141 0.659
Au -1.691 -4.037 2.819
Au -3.652 -8.147 2.955
Au 1.694 -2.032 0.522
```

Calculated values
- total DFT energy (no corrections) (eV/atom) = -2.96
- total magnetization (μB per formula unit) = 0.00
- crystal system = tetragonal
- E_form (meV per atom) = -258
- SG = No. 115


# 3
# LaGa4Ag2Au

A relaxed structure of LaGa4Ag2Au (GGA-PBE, the Alexandria database).

```
8
Lattice="4.511 0.000 0.000 2.255 3.906 0.000 2.255 1.302 9.159" Properties=species:S:1:pos:R:3 pbc="T T T"
La 0.000 0.000 0.000
Ga 4.511 2.604 7.368
Ga 6.766 3.906 3.455
Ga 2.255 1.302 5.705
Ga 4.511 2.604 1.791
Ag 6.766 3.906 6.752
Ag 2.255 1.302 2.407
Au 4.511 2.604 4.580
```

Calculated values
- total DFT energy (no corrections) (eV/atom) = -3.53
- total magnetization (μB per formula unit) = 0.00
- crystal system = trigonal
- E_form (meV per atom) = -278
- SG = No. 166


# 4
# LaGa5AgAu2

A relaxed structure of LaGa5AgAu2 (GGA-PBE, the Alexandria database).

```
9
Lattice="-4.282 -0.904 -0.092 0.771 -3.849 1.938 -1.191 4.649 9.706" Properties=species:S:1:pos:R:3 pbc="T T T"
La -0.595 2.324 4.853
Ga 0.215 -1.259 2.357
Ga -2.311 0.213 1.342
Ga -0.635 2.059 9.287
Ga -3.161 3.531 8.272
Ga -2.351 -0.052 5.776
Ag 0.000 0.000 0.000
Au -2.084 -1.094 3.600
Au -2.618 0.990 7.952
```

Calculated values
- total DFT energy (no corrections) (eV/atom) = -3.45
- total magnetization (μB per formula unit) = 0.00
- crystal system = tetragonal
- E_form (meV per atom) = -175
- SG = No. 123